Entry 1:
DFT (PBE) results for a geometry-optimized K2SrIn2 structure.

Space group: I4/mmm (139)

extended XYZ file:
```
5
Lattice="4.923 0.000 0.000 0.000 4.923 0.000 2.462 2.462 8.359" Properties=species:S:1:pos:R:3 pbc="T T T"
Sr 0.000 0.000 0.000
In 2.462 2.462 1.474
K 2.462 4.923 4.179
In 4.923 4.923 6.885
K 4.923 2.462 4.179
```

***

Entry 2:
DFT (PBE) results for a geometry-optimized CaCdIr2I structure.

Raw formation energy in eV per atom: 1.051
Space group: P4/mmm (123)

extended XYZ file:
```
5
Lattice="4.969 0.000 0.000 0.000 5.537 0.000 0.000 0.000 4.969" Properties=species:S:1:pos:R:3 pbc="T T T"
Cd 2.485 2.769 2.485
Ir 2.485 0.000 0.000
Ca 0.000 2.769 0.000
Ir 0.000 0.000 2.485
I 0.000 0.000 0.000
```

***

Entry 3:
DFT (PBE) results for a geometry-optimized MnFePb2 structure.

Space group: I-42d (122)

extended XYZ file:
```
8
Lattice="7.175 0.000 0.000 0.000 7.175 0.000 3.588 3.588 3.101" Properties=species:S:1:pos:R:3 pbc="T T T"
Mn 3.588 7.175 1.550
Pb 1.743 5.381 0.775
Pb 8.969 9.020 2.326
Pb 5.432 1.794 0.775
Mn 3.588 3.588 0.000
Fe 7.175 3.588 1.550
Pb 5.381 5.331 2.326
Fe 0.000 0.000 0.000
```

***

| no. | electronic total energy (eV per atom) |
| --- | --- |
| 1 | -1.910 |
| 2 | -3.387 |
| 3 | -4.994 |